# 1
! PBE-GGA KCo2Os, optimized geometry; values from VASP
! N(E_F)   1.287 states/eV/atom
! Calculated density   7.68 g cm⁻³
! Energy above the lowest structure with this stoichiometry   71 meV/atom
! Energy of formation from the pure elements   758 meV/atom
! M_tot   2.02 μB per formula unit
&SYSTEM
  ibrav = 0, nat = 4, ntyp = 3
/
ATOMIC_SPECIES
Co 58.93 Co.upf
Os 190.23 Os.upf
K 39.10 K.upf
CELL_PARAMETERS angstrom
-1.306 -1.588 -3.818
1.295 -2.122 -3.554
-1.522 -6.161 2.539
ATOMIC_POSITIONS crystal
Co 0.517 0.517 0.389
Co 0.983 0.983 0.111
Os 0.250 0.250 0.250
K 0.750 0.750 0.750

=====

# 2
! PBE-GGA CaNiSb2, optimized geometry; values from VASP
! N(E_F)   0.688 states/eV/atom
! Calculated density   5.95 g cm⁻³
! M_tot   0.00 μB per formula unit
! Uncorrected formation energy   -0.282 eV per atom
&SYSTEM
  ibrav = 0, nat = 4, ntyp = 3
/
ATOMIC_SPECIES
Ca 40.08 Ca.upf
Sb 121.76 Sb.upf
Ni 58.69 Ni.upf
CELL_PARAMETERS angstrom
-0.766 7.450 1.639
-3.489 4.624 5.023
4.394 -5.928 -2.081
ATOMIC_POSITIONS crystal
Ca 0.441 0.441 0.000
Sb 0.075 0.075 0.000
Sb 0.770 0.270 0.500
Ni 0.214 0.714 0.500

=====

# 3
! PBE-GGA ScPOs2, optimized geometry; values from VASP
! N(E_F)   0.750 states/eV/atom
! Calculated density   12.43 g cm⁻³
! Energy of formation from the pure elements   -172 meV/atom
! M_tot   0.00 μB per formula unit
&SYSTEM
  ibrav = 0, nat = 4, ntyp = 3
/
ATOMIC_SPECIES
Sc 44.96 Sc.upf
Os 190.23 Os.upf
P 30.97 P.upf
CELL_PARAMETERS angstrom
2.921 0.000 0.000
0.000 2.921 0.000
0.000 0.000 7.147
ATOMIC_POSITIONS crystal
Sc 0.500 0.500 0.746
Os 0.500 0.500 0.278
Os 0.000 0.000 0.016
P 0.000 0.000 0.459

=====

# 4
! PBE-GGA TaCr2Sb, optimized geometry; values from VASP
! N(E_F)   0.466 states/eV/atom
! Calculated density   10.91 g cm⁻³
! Energy above the lowest structure with this stoichiometry   0 meV/atom
! M_tot   2.06 μB per formula unit
! Uncorrected formation energy   0.112 eV per atom
&SYSTEM
  ibrav = 0, nat = 4, ntyp = 3
/
ATOMIC_SPECIES
Ta 180.95 Ta.upf
Cr 52.00 Cr.upf
Sb 121.76 Sb.upf
CELL_PARAMETERS angstrom
4.333 0.000 0.000
0.000 4.333 0.000
0.000 0.000 3.299
ATOMIC_POSITIONS crystal
Ta 0.000 0.500 0.500
Cr 0.500 0.500 0.000
Cr 0.000 0.000 0.000
Sb 0.500 0.000 0.500

=====

# 5
! PBE-GGA CeHoC2, optimized geometry; values from VASP
! N(E_F)   2.056 states/eV/atom
! Calculated density   8.12 g cm⁻³
! Energy above the lowest structure with this stoichiometry   0 meV/atom
! Energy of formation from the pure elements   -26 meV/atom
! M_tot   0.35 μB per formula unit
&SYSTEM
  ibrav = 0, nat = 4, ntyp = 3
/
ATOMIC_SPECIES
C 12.01 C.upf
Ho 164.93 Ho.upf
Ce 140.12 Ce.upf
CELL_PARAMETERS angstrom
-3.022 1.683 -1.119
-3.196 -0.784 1.545
-1.188 4.534 4.120
ATOMIC_POSITIONS crystal
C 0.752 0.752 0.744
C 0.248 0.248 0.256
Ho 0.000 0.000 0.000
Ce 0.500 0.500 0.500

=====

# 6
! PBE-GGA ScBeTl, optimized geometry; values from VASP
! N(E_F)   0.748 states/eV/atom
! Calculated density   7.29 g cm⁻³
! Energy above the lowest structure with this stoichiometry   107 meV/atom
! Energy of formation from the pure elements   20 meV/atom
! M_tot   0.00 μB per formula unit
&SYSTEM
  ibrav = 0, nat = 6, ntyp = 3
/
ATOMIC_SPECIES
Sc 44.96 Sc.upf
Be 9.01 Be.upf
Tl 204.38 Tl.upf
CELL_PARAMETERS angstrom
3.762 0.000 0.000
0.000 7.304 -0.032
0.000 -2.190 4.291
ATOMIC_POSITIONS crystal
Sc 0.088 0.147 0.946
Sc 0.088 0.596 0.776
Be 0.588 0.893 0.018
Be 0.088 0.946 0.277
Tl 0.588 0.235 0.518
Tl 0.588 0.722 0.391

=====

# 7
! PBE-GGA KY2Sc, optimized geometry; values from VASP
! N(E_F)   1.411 states/eV/atom
! Calculated density   3.17 g cm⁻³
! Energy above the lowest structure with this stoichiometry   337 meV/atom
! Energy of formation from the pure elements   571 meV/atom
! M_tot   2.02 μB per formula unit
&SYSTEM
  ibrav = 0, nat = 4, ntyp = 3
/
ATOMIC_SPECIES
Sc 44.96 Sc.upf
K 39.10 K.upf
Y 88.91 Y.upf
CELL_PARAMETERS angstrom
-5.836 -0.858 -2.038
0.281 -3.793 -4.948
2.431 -0.601 5.716
ATOMIC_POSITIONS crystal
Sc 0.750 0.250 0.500
K 0.250 0.750 0.500
Y 0.500 0.500 0.000
Y 0.000 0.000 0.000

=====

# 8
! PBE-GGA MnBi2P, optimized geometry; values from VASP
! N(E_F)   1.177 states/eV/atom
! Calculated density   7.24 g cm⁻³
! Energy above the lowest structure with this stoichiometry   232 meV/atom
! Energy of formation from the pure elements   811 meV/atom
! M_tot   0.00 μB per formula unit
&SYSTEM
  ibrav = 0, nat = 8, ntyp = 3
/
ATOMIC_SPECIES
Mn 54.94 Mn.upf
Bi 208.98 Bi.upf
P 30.97 P.upf
CELL_PARAMETERS angstrom
6.170 0.000 0.000
0.000 6.170 0.000
3.085 3.085 6.073
ATOMIC_POSITIONS crystal
Mn 0.750 0.250 0.500
Mn 0.000 0.000 0.000
Bi 0.875 0.902 0.750
Bi 0.652 0.125 0.250
Bi 0.375 0.348 0.750
Bi 0.098 0.625 0.250
P 0.500 0.500 0.000
P 0.250 0.750 0.500